# meta-GGA SCAN KMgOs, PBEsol geometry
# ΔH_f (0 K) in kcal/mol of atoms: 38.63
# Crystal system: cubic
# D(E_F) in states/eV per cell: 2.2
# Total DFT energy (no corrections) in Ry/atom: -1.9638
data_KMgOs
_chemical_formula_sum 'K1 Mg1 Os1'
_cell_length_a 4.734
_cell_length_b 4.734
_cell_length_c 4.734
_cell_angle_alpha 60.00
_cell_angle_beta 60.00
_cell_angle_gamma 60.00
_space_group_name_H-M_alt 'P 1'
_space_group_IT_number 1
_space_group_name_Hall 'P 1'
loop_
_atom_site_label
_atom_site_type_symbol
_atom_site_fract_x
_atom_site_fract_y
_atom_site_fract_z
_atom_site_occupancy
K1 K 0.000 0.000 0.000 1
Mg1 Mg 0.750 0.750 0.750 1
Os1 Os 0.500 0.500 0.500 1



# meta-GGA SCAN Ta2ReIr, PBEsol geometry
# ΔH_f (0 K) in kcal/mol of atoms: -7.08
# Crystal system: monoclinic
# D(E_F) in states/eV per cell: 2.9
# Total DFT energy (no corrections) in Ry/atom: -5.0823
data_Ta2ReIr
_chemical_formula_sum 'Ta2 Re1 Ir1'
_cell_length_a 2.758
_cell_length_b 4.361
_cell_length_c 5.332
_cell_angle_alpha 90.00
_cell_angle_beta 99.35
_cell_angle_gamma 90.00
_space_group_name_H-M_alt 'P 1'
_space_group_IT_number 1
_space_group_name_Hall 'P 1'
loop_
_atom_site_label
_atom_site_type_symbol
_atom_site_fract_x
_atom_site_fract_y
_atom_site_fract_z
_atom_site_occupancy
Ta1 Ta 0.233 0.000 0.254 1
Ta2 Ta 0.767 0.000 0.746 1
Re1 Re 0.000 0.500 0.500 1
Ir1 Ir 0.500 0.500 0.000 1



# meta-GGA SCAN Cu2Pd3Se4, PBEsol geometry
# Crystal system: monoclinic
# Raw formation energy in eV per atom: -0.27
# D(E_F) in states/eV per cell: 4.7
# Total DFT energy (no corrections) in Ry/atom: -1.7269
data_Cu2Pd3Se4
_chemical_formula_sum 'Cu4 Pd6 Se8'
_cell_length_a 5.708
_cell_length_b 9.668
_cell_length_c 6.131
_cell_angle_alpha 90.00
_cell_angle_beta 116.11
_cell_angle_gamma 90.00
_space_group_name_H-M_alt 'P 1'
_space_group_IT_number 1
_space_group_name_Hall 'P 1'
loop_
_atom_site_label
_atom_site_type_symbol
_atom_site_fract_x
_atom_site_fract_y
_atom_site_fract_z
_atom_site_occupancy
Cu1 Cu 0.107 0.193 0.469 1
Cu2 Cu 0.107 0.307 0.969 1
Cu3 Cu 0.893 0.693 0.031 1
Cu4 Cu 0.893 0.807 0.531 1
Pd1 Pd 0.244 0.629 0.506 1
Pd2 Pd 0.244 0.871 0.006 1
Pd3 Pd 0.500 0.000 0.500 1
Pd4 Pd 0.500 0.500 0.000 1
Pd5 Pd 0.756 0.129 0.994 1
Pd6 Pd 0.756 0.371 0.494 1
Se1 Se 0.029 0.556 0.765 1
Se2 Se 0.029 0.944 0.265 1
Se3 Se 0.498 0.686 0.280 1
Se4 Se 0.498 0.814 0.780 1
Se5 Se 0.502 0.186 0.220 1
Se6 Se 0.502 0.314 0.720 1
Se7 Se 0.971 0.056 0.735 1
Se8 Se 0.971 0.444 0.235 1



# meta-GGA SCAN BaCoTeI2, PBEsol geometry
# Crystal system: tetragonal
# Raw formation energy in eV per atom: 0.14
# D(E_F) in states/eV per cell: 7.1
# Total DFT energy (no corrections) in Ry/atom: -2.4532
data_BaCoTeI2
_chemical_formula_sum 'Ba1 Co1 Te1 I2'
_cell_length_a 6.505
_cell_length_b 6.505
_cell_length_c 6.716
_cell_angle_alpha 90.00
_cell_angle_beta 90.00
_cell_angle_gamma 90.00
_space_group_name_H-M_alt 'P 1'
_space_group_IT_number 1
_space_group_name_Hall 'P 1'
loop_
_atom_site_label
_atom_site_type_symbol
_atom_site_fract_x
_atom_site_fract_y
_atom_site_fract_z
_atom_site_occupancy
Ba1 Ba 0.000 0.000 0.000 1
Co1 Co 0.500 0.500 0.500 1
Te1 Te 0.000 0.000 0.500 1
I1 I 0.000 0.500 0.000 1
I2 I 0.500 0.000 0.000 1



# meta-GGA SCAN CsAsSe2N, PBEsol geometry
# Crystal system: tetragonal
# Raw formation energy in eV per atom: 2.09
# D(E_F) in states/eV per cell: 3.9
# Total DFT energy (no corrections) in Ry/atom: -1.4260
data_CsAsSe2N
_chemical_formula_sum 'Cs1 As1 Se2 N1'
_cell_length_a 5.634
_cell_length_b 5.634
_cell_length_c 4.217
_cell_angle_alpha 90.00
_cell_angle_beta 90.00
_cell_angle_gamma 90.00
_space_group_name_H-M_alt 'P 1'
_space_group_IT_number 1
_space_group_name_Hall 'P 1'
loop_
_atom_site_label
_atom_site_type_symbol
_atom_site_fract_x
_atom_site_fract_y
_atom_site_fract_z
_atom_site_occupancy
Cs1 Cs 0.000 0.000 0.000 1
As1 As 0.500 0.500 0.500 1
Se1 Se 0.000 0.500 0.000 1
Se2 Se 0.500 0.000 0.000 1
N1 N 0.000 0.000 0.500 1



# meta-GGA SCAN Y2InPb, PBEsol geometry
# ΔH_f (0 K) in kcal/mol of atoms: -15.37
# Crystal system: tetragonal
# D(E_F) in states/eV per cell: 2.9
# Total DFT energy (no corrections) in Ry/atom: -3.0781
data_Y2InPb
_chemical_formula_sum 'Y2 In1 Pb1'
_cell_length_a 4.888
_cell_length_b 4.888
_cell_length_c 4.348
_cell_angle_alpha 90.00
_cell_angle_beta 90.00
_cell_angle_gamma 90.00
_space_group_name_H-M_alt 'P 1'
_space_group_IT_number 1
_space_group_name_Hall 'P 1'
loop_
_atom_site_label
_atom_site_type_symbol
_atom_site_fract_x
_atom_site_fract_y
_atom_site_fract_z
_atom_site_occupancy
Y1 Y 0.000 0.500 0.000 1
Y2 Y 0.500 0.000 0.000 1
In1 In 0.000 0.000 0.500 1
Pb1 Pb 0.500 0.500 0.500 1